# 1
The following is a PBE-GGA calculation of a relaxed Tm2ScIn4 crystal, from the Alexandria database.

Values from the calculation:
ΔH_f (0 K): -0.301 eV per atom
Space-group type: I4/mmm, No. 139
Calculated density: 7.394 g/cm3

The structure in extended XYZ format:
```
14
Lattice="7.000 0.000 0.000 0.000 7.000 0.000 0.000 0.000 7.720" Properties=species:S:1:pos:R:3 pbc="T T T"
Tm 0.000 3.500 0.000
Tm 0.000 3.500 3.860
Tm 3.500 0.000 0.000
Tm 3.500 0.000 3.860
Sc 0.000 0.000 0.000
Sc 3.500 3.500 3.860
In 1.750 1.750 1.930
In 1.750 1.750 5.790
In 1.750 5.250 1.930
In 1.750 5.250 5.790
In 5.250 1.750 1.930
In 5.250 1.750 5.790
In 5.250 5.250 1.930
In 5.250 5.250 5.790
```


# 2
The following is a PBE-GGA calculation of a relaxed Tm3Sc4In crystal, from the Alexandria database.

Values from the calculation:
ΔH_f (0 K): -0.107 eV per atom
Space-group type: Pmn2_1, No. 31
Calculated density: 6.417 g/cm3

The structure in extended XYZ format:
```
16
Lattice="10.702 0.000 0.000 0.000 6.676 0.000 0.000 0.000 5.805" Properties=species:S:1:pos:R:3 pbc="T T T"
Tm 0.000 0.880 0.000
Tm 2.594 0.828 2.029
Tm 2.757 5.848 4.931
Tm 5.351 5.796 2.903
Tm 7.945 5.848 4.931
Tm 8.109 0.828 2.029
Sc 0.000 2.569 3.103
Sc 0.000 4.154 0.116
Sc 2.599 4.146 2.099
Sc 2.752 2.530 5.002
Sc 5.351 2.522 3.019
Sc 5.351 4.106 0.200
Sc 7.950 2.530 5.002
Sc 8.104 4.146 2.099
In 0.000 5.767 3.001
In 5.351 0.909 0.098
```


# 3
The following is a PBE-GGA calculation of a relaxed Tm2Sc3In4 crystal, from the Alexandria database.

Values from the calculation:
ΔH_f (0 K): -0.257 eV per atom
Space-group type: Cmce, No. 64
Calculated density: 6.704 g/cm3

The structure in extended XYZ format:
```
18
Lattice="3.330 -7.947 0.000 3.330 7.947 0.000 0.000 0.000 8.723" Properties=species:S:1:pos:R:3 pbc="T T T"
Tm 3.330 6.142 8.061
Tm 3.330 1.805 3.699
Tm 3.330 -1.805 5.024
Tm 3.330 -6.142 0.662
Sc 0.000 0.000 4.361
Sc 1.665 3.400 6.542
Sc 1.665 -3.400 2.181
Sc 3.330 0.000 0.000
Sc 4.996 3.400 6.542
Sc 4.996 -3.400 2.181
In 3.330 5.003 4.743
In 1.665 0.502 6.542
In 1.665 -0.502 2.181
In 3.330 2.944 0.381
In 3.330 -2.944 8.342
In 4.996 0.502 6.542
In 4.996 -0.502 2.181
In 3.330 -5.003 3.980
```


# 4
The following is a PBE-GGA calculation of a relaxed TmSc2In2 crystal, from the Alexandria database.

Values from the calculation:
ΔH_f (0 K): -0.163 eV per atom
Space-group type: P-3m1, No. 164
Calculated density: 5.999 g/cm3

The structure in extended XYZ format:
```
5
Lattice="5.020 0.000 0.000 -2.510 4.348 0.000 0.000 0.000 6.194" Properties=species:S:1:pos:R:3 pbc="T T T"
Tm 0.000 0.000 0.000
Sc 0.000 2.899 4.081
Sc 2.510 1.449 2.114
In 0.000 2.899 1.171
In 2.510 1.449 5.023
```


# 5
The following is a PBE-GGA calculation of a relaxed TmScIn6 crystal, from the Alexandria database.

Values from the calculation:
ΔH_f (0 K): -0.335 eV per atom
Space-group type: P4/mmm, No. 123
Calculated density: 7.857 g/cm3

The structure in extended XYZ format:
```
8
Lattice="4.571 0.000 0.000 0.000 4.571 0.000 0.000 0.000 9.131" Properties=species:S:1:pos:R:3 pbc="T T T"
Tm 0.000 0.000 0.000
Sc 0.000 0.000 4.565
In 0.000 2.286 2.329
In 0.000 2.286 6.801
In 2.286 0.000 2.329
In 2.286 0.000 6.801
In 2.286 2.286 0.000
In 2.286 2.286 4.565
```


# 6
The following is a PBE-GGA calculation of a relaxed Tm14ScIn crystal, from the Alexandria database.

Values from the calculation:
ΔH_f (0 K): -0.026 eV per atom
Space-group type: P4/mmm, No. 123
Calculated density: 9.008 g/cm3

The structure in extended XYZ format:
```
16
Lattice="6.899 0.000 0.000 0.000 6.899 0.000 0.000 0.000 9.778" Properties=species:S:1:pos:R:3 pbc="T T T"
Tm 0.000 0.000 0.000
Tm 0.000 3.450 0.000
Tm 0.000 3.450 4.889
Tm 1.716 1.716 2.483
Tm 1.716 1.716 7.295
Tm 1.716 5.183 2.483
Tm 1.716 5.183 7.295
Tm 3.450 0.000 0.000
Tm 3.450 0.000 4.889
Tm 3.450 3.450 0.000
Tm 5.183 1.716 2.483
Tm 5.183 1.716 7.295
Tm 5.183 5.183 2.483
Tm 5.183 5.183 7.295
Sc 0.000 0.000 4.889
In 3.450 3.450 4.889
```